ScCoSb PBE relaxed; space-group type = P4/nmm, No. 129; magnetization = 0.42 Bohr magnetons per cell
1.0
-2.285 2.534 2.163
-3.310 -1.428 -1.824
-0.629 -4.644 4.776
Sb Sc Co
2 2 2
Direct
0.000 0.500 0.661 Sb
0.500 0.000 0.339 Sb
0.000 0.000 0.000 Sc
0.500 0.500 0.000 Sc
0.000 0.500 0.273 Co
0.500 0.000 0.727 Co

=====

YHo2Co2B2N3 PBE relaxed; space-group type = I4/mmm, No. 139; magnetization = 0.02 Bohr magnetons per cell
1.0
-0.594 -8.352 5.861
-5.178 -7.705 4.274
3.363 6.627 -7.016
N Co B Y Ho
3 2 2 1 2
Direct
0.118 0.118 0.000 N
0.500 0.500 0.000 N
0.882 0.882 0.000 N
0.250 0.750 0.500 Co
0.750 0.250 0.500 Co
0.806 0.806 0.000 B
0.194 0.194 0.000 B
0.000 0.000 0.000 Y
0.376 0.376 0.000 Ho
0.624 0.624 0.000 Ho

=====

RbAuSeO PBE relaxed; space-group type = P2_1/c, No. 14
1.0
5.646 0.000 -0.277
0.000 6.499 0.000
-1.226 0.000 11.178
Se Au Rb O
4 4 4 4
Direct
0.205 0.237 0.806 Se
0.795 0.763 0.194 Se
0.205 0.263 0.306 Se
0.795 0.737 0.694 Se
0.491 0.013 0.241 Au
0.509 0.987 0.758 Au
0.491 0.487 0.741 Au
0.509 0.513 0.258 Au
0.763 0.236 0.524 Rb
0.237 0.736 0.976 Rb
0.237 0.764 0.476 Rb
0.763 0.264 0.024 Rb
0.235 0.236 0.464 O
0.235 0.264 0.964 O
0.765 0.736 0.036 O
0.765 0.764 0.536 O

=====

ErInFeSe3 PBE relaxed; space-group type = Cmcm, No. 63; magnetization = 7.99 Bohr magnetons per cell
1.0
-2.748 2.221 -1.955
1.824 -0.598 -7.415
-6.284 -8.530 -0.858
Se In Er Fe
6 2 2 2
Direct
0.373 0.255 0.567 Se
0.931 0.139 0.250 Se
0.627 0.745 0.433 Se
0.627 0.745 0.067 Se
0.069 0.861 0.750 Se
0.373 0.255 0.933 Se
0.756 0.487 0.750 In
0.244 0.513 0.250 In
0.000 0.000 0.000 Er
0.000 0.000 0.500 Er
0.470 0.060 0.750 Fe
0.530 0.940 0.250 Fe

=====

NbI4Br PBE relaxed; space-group type = P-1, No. 2; magnetization = 0.02 Bohr magnetons per cell
1.0
-5.796 1.766 4.101
-0.350 -6.741 -3.983
6.001 -1.327 8.642
I Nb Br
8 2 2
Direct
0.762 0.815 0.043 I
0.238 0.185 0.957 I
0.315 0.016 0.253 I
0.926 0.181 0.433 I
0.685 0.984 0.747 I
0.885 0.387 0.153 I
0.074 0.819 0.567 I
0.115 0.613 0.847 I
0.112 0.224 0.224 Nb
0.888 0.776 0.776 Nb
0.567 0.435 0.676 Br
0.433 0.565 0.324 Br

=====

CdH4Br3N PBE relaxed; space-group type = Pnma, No. 62
1.0
-5.650 6.333 -3.632
-3.258 -2.744 0.285
-3.262 5.371 14.437
Br H Cd N
12 16 4 4
Direct
0.287 0.250 0.786 Br
0.837 0.750 0.498 Br
0.663 0.250 0.998 Br
0.032 0.250 0.102 Br
0.468 0.750 0.602 Br
0.787 0.250 0.714 Br
0.213 0.750 0.286 Br
0.337 0.750 0.002 Br
0.532 0.250 0.398 Br
0.713 0.750 0.214 Br
0.968 0.750 0.898 Br
0.163 0.250 0.502 Br
0.537 0.945 0.794 H
0.822 0.250 0.337 H
0.463 0.445 0.206 H
0.963 0.445 0.294 H
0.037 0.945 0.706 H
0.963 0.055 0.294 H
0.037 0.555 0.706 H
0.988 0.250 0.387 H
0.537 0.555 0.794 H
0.488 0.250 0.113 H
0.322 0.250 0.163 H
0.178 0.750 0.663 H
0.463 0.055 0.206 H
0.012 0.750 0.613 H
0.512 0.750 0.887 H
0.678 0.750 0.837 H
0.168 0.250 0.941 Cd
0.668 0.250 0.559 Cd
0.832 0.750 0.059 Cd
0.332 0.750 0.441 Cd
0.433 0.250 0.171 N
0.933 0.250 0.329 N
0.067 0.750 0.671 N
0.567 0.750 0.829 N

=====

| no. | uncorrected energy (eV/atom) |
| --- | --- |
| 1 | -6.12 |
| 2 | -8.04 |
| 3 | -3.91 |
| 4 | -5.22 |
| 5 | -3.49 |
| 6 | -3.72 |